1.
Density functional theory data (GGA-PBE) for Pr15ErIn4 after structural relaxation.

Cell: 5.025 5.025 25.620 Å, 90.00 90.00 90.00°
Fractional positions:
Pr: 0.000 0.000 0.000
Pr: 0.000 0.000 0.204
Pr: 0.000 0.000 0.401
Pr: 0.000 0.000 0.599
Pr: 0.000 0.000 0.796
Pr: 0.000 0.500 0.104
Pr: 0.000 0.500 0.303
Pr: 0.000 0.500 0.500
Pr: 0.000 0.500 0.697
Pr: 0.000 0.500 0.896
Pr: 0.500 0.000 0.104
Pr: 0.500 0.000 0.303
Pr: 0.500 0.000 0.500
Pr: 0.500 0.000 0.697
Pr: 0.500 0.000 0.896
Er: 0.500 0.500 0.000
In: 0.500 0.500 0.205
In: 0.500 0.500 0.401
In: 0.500 0.500 0.599
In: 0.500 0.500 0.795

Computed properties:
Crystal system ... tetragonal
Total moment ... 0.00 Bohr magnetons per cell
Calculated total energy ... -4.573 eV/atom

---

2.
Density functional theory data (GGA-PBE) for KGePt2 after structural relaxation.

Cell: 6.384 6.384 6.384 Å, 106.02 106.02 116.63°
Fractional positions:
K: 0.000 0.000 0.000
K: 0.750 0.250 0.500
Ge: 0.250 0.750 0.500
Ge: 0.500 0.500 0.000
Pt: 0.226 0.625 0.101
Pt: 0.375 0.476 0.601
Pt: 0.524 0.125 0.899
Pt: 0.875 0.774 0.399

Computed properties:
Crystal system ... tetragonal
Total moment ... 0.00 Bohr magnetons per cell
Calculated total energy ... -4.470 eV/atom

---

3.
Density functional theory data (GGA-PBE) for RbY2Sc after structural relaxation.

Cell: 12.203 12.203 12.203 Å, 150.91 150.91 41.60°
Fractional positions:
Rb: 0.375 0.625 0.750
Rb: 0.625 0.375 0.250
Y: 0.000 0.000 0.000
Y: 0.000 0.000 0.500
Y: 0.000 0.500 0.000
Y: 0.500 0.000 0.500
Sc: 0.125 0.875 0.250
Sc: 0.875 0.125 0.750

Computed properties:
Crystal system ... tetragonal
Offset from the most stable computed form ... 541 meV per atom
Total moment ... 3.85 Bohr magnetons per cell

---

4.
Density functional theory data (GGA-PBE) for La6Sn2C after structural relaxation.

Cell: 7.170 7.170 13.019 Å, 90.00 90.00 90.00°
Fractional positions:
La: 0.189 0.189 0.134
La: 0.189 0.189 0.866
La: 0.233 0.233 0.500
La: 0.267 0.733 0.000
La: 0.311 0.689 0.366
La: 0.311 0.689 0.634
La: 0.689 0.311 0.366
La: 0.689 0.311 0.634
La: 0.733 0.267 0.000
La: 0.767 0.767 0.500
La: 0.811 0.811 0.134
La: 0.811 0.811 0.866
Sn: 0.000 0.000 0.330
Sn: 0.000 0.000 0.670
Sn: 0.500 0.500 0.170
Sn: 0.500 0.500 0.830
C: 0.000 0.000 0.000
C: 0.500 0.500 0.500

Computed properties:
Crystal system ... tetragonal
Offset from the most stable computed form ... 306 meV per atom
Total moment ... 0.00 Bohr magnetons per cell

---

5.
Density functional theory data (GGA-PBE) for GaCoIrRh after structural relaxation.

Cell: 4.251 4.251 4.251 Å, 60.00 60.00 60.00°
Fractional positions:
Ga: 0.000 0.000 0.000
Co: 0.500 0.500 0.500
Ir: 0.250 0.250 0.250
Rh: 0.750 0.750 0.750

Computed properties:
Crystal system ... cubic
Total moment ... 2.96 Bohr magnetons per cell
Calculated total energy ... -6.799 eV/atom

---

6.
Density functional theory data (GGA-PBE) for CsMgV after structural relaxation.

Cell: 5.582 5.582 5.582 Å, 60.00 60.00 60.00°
Fractional positions:
Cs: 0.000 0.000 0.000
Mg: 0.500 0.500 0.500
V: 0.750 0.750 0.750

Computed properties:
Crystal system ... cubic
Offset from the most stable computed form ... 790 meV per atom
Total moment ... 4.36 Bohr magnetons per cell

---

7.
Density functional theory data (GGA-PBE) for CaYHo after structural relaxation.

Cell: 3.604 5.501 10.724 Å, 90.13 99.65 90.02°
Fractional positions:
Ca: 0.205 0.250 0.408
Ca: 0.795 0.750 0.592
Y: 0.395 0.249 0.789
Y: 0.605 0.751 0.211
Ho: 0.038 0.250 0.079
Ho: 0.962 0.750 0.921

Computed properties:
Crystal system ... triclinic
Offset from the most stable computed form ... 0 meV per atom
Total moment ... 0.00 Bohr magnetons per cell

---

8.
Density functional theory data (GGA-PBE) for Tc3BiRh after structural relaxation.

Cell: 4.722 4.722 4.722 Å, 90.00 90.00 90.00°
Fractional positions:
Tc: 0.000 0.000 0.500
Tc: 0.000 0.500 0.000
Tc: 0.500 0.000 0.000
Bi: 0.500 0.500 0.500
Rh: 0.000 0.000 0.000

Computed properties:
Crystal system ... cubic
Offset from the most stable computed form ... 0 meV per atom
Total moment ... 1.45 Bohr magnetons per cell

---

9.
Density functional theory data (GGA-PBE) for BaTc2P after structural relaxation.

Cell: 3.276 3.276 7.482 Å, 90.00 90.00 90.00°
Fractional positions:
Ba: 0.000 0.000 0.000
Tc: 0.000 0.000 0.481
Tc: 0.500 0.500 0.648
P: 0.500 0.500 0.320

Computed properties:
Crystal system ... tetragonal
Total moment ... 0.00 Bohr magnetons per cell
Calculated total energy ... -6.845 eV/atom

---

10.
Density functional theory data (GGA-PBE) for CoNi3Pt12 after structural relaxation.

Cell: 3.878 3.878 15.593 Å, 90.00 90.00 90.00°
Fractional positions:
Co: 0.000 0.000 0.000
Ni: 0.000 0.000 0.250
Ni: 0.000 0.000 0.500
Ni: 0.000 0.000 0.750
Pt: 0.000 0.500 0.125
Pt: 0.000 0.500 0.375
Pt: 0.000 0.500 0.625
Pt: 0.000 0.500 0.875
Pt: 0.500 0.000 0.125
Pt: 0.500 0.000 0.375
Pt: 0.500 0.000 0.625
Pt: 0.500 0.000 0.875
Pt: 0.500 0.500 0.000
Pt: 0.500 0.500 0.250
Pt: 0.500 0.500 0.500
Pt: 0.500 0.500 0.750

Computed properties:
Crystal system ... tetragonal
Total moment ... 6.36 Bohr magnetons per cell
Calculated total energy ... -6.134 eV/atom

---

11.
Density functional theory data (GGA-PBE) for BiTe3Pd after structural relaxation.

Cell: 5.886 5.886 5.886 Å, 90.00 90.00 90.00°
Fractional positions:
Bi: 0.000 0.000 0.000
Te: 0.000 0.000 0.500
Te: 0.000 0.500 0.000
Te: 0.500 0.000 0.000
Pd: 0.500 0.500 0.500

Computed properties:
Crystal system ... cubic
Offset from the most stable computed form ... 1115 meV per atom
Total moment ... 0.95 Bohr magnetons per cell
Formation energy without anion corrections ... 0.938 eV/atom

---

12.
Density functional theory data (GGA-PBE) for KPrHg6 after structural relaxation.

Cell: 5.358 7.108 5.728 Å, 90.00 90.00 90.00°
Fractional positions:
K: 0.000 0.000 0.000
Pr: 0.500 0.500 0.317
Hg: 0.000 0.262 0.491
Hg: 0.000 0.500 0.980
Hg: 0.000 0.738 0.491
Hg: 0.500 0.000 0.390
Hg: 0.500 0.264 0.833
Hg: 0.500 0.736 0.833

Computed properties:
Crystal system ... orthorhombic
Total moment ... 0.00 Bohr magnetons per cell
Calculated total energy ... -1.228 eV/atom

---

13.
Density functional theory data (GGA-PBE) for Na2GaPd3 after structural relaxation.

Cell: 5.173 5.173 5.173 Å, 65.10 65.10 65.10°
Fractional positions:
Na: 0.122 0.122 0.122
Na: 0.878 0.878 0.878
Ga: 0.500 0.500 0.500
Pd: 0.000 0.500 0.500
Pd: 0.500 0.000 0.500
Pd: 0.500 0.500 0.000

Computed properties:
Crystal system ... trigonal
Total moment ... 0.00 Bohr magnetons per cell
Calculated total energy ... -3.947 eV/atom

---

14.
Density functional theory data (GGA-PBE) for CaSnNO2 after structural relaxation.

Cell: 4.378 4.378 4.520 Å, 90.00 90.00 90.00°
Fractional positions:
Ca: 0.000 0.000 0.000
Sn: 0.500 0.500 0.500
N: 0.000 0.000 0.500
O: 0.000 0.500 0.000
O: 0.500 0.000 0.000

Computed properties:
Crystal system ... tetragonal
Total moment ... 3.00 Bohr magnetons per cell
Formation energy without anion corrections ... -0.007 eV/atom

---

15.
Density functional theory data (GGA-PBE) for Dy3Er6TmTh2 after structural relaxation.

Cell: 6.113 6.113 11.672 Å, 95.02 95.02 119.97°
Fractional positions:
Dy: 0.000 0.000 0.000
Dy: 0.334 0.666 0.000
Dy: 0.666 0.334 0.000
Er: 0.081 0.417 0.252
Er: 0.246 0.246 0.748
Er: 0.417 0.081 0.252
Er: 0.583 0.919 0.748
Er: 0.754 0.754 0.252
Er: 0.919 0.583 0.748
Tm: 0.500 0.500 0.500
Th: 0.167 0.833 0.500
Th: 0.833 0.167 0.500

Computed properties:
Crystal system ... monoclinic
Total moment ... 0.00 Bohr magnetons per cell
Calculated total energy ... -5.021 eV/atom

---

16.
Density functional theory data (GGA-PBE) for SrZn3Au after structural relaxation.

Cell: 6.500 6.500 6.500 Å, 141.26 141.26 55.94°
Fractional positions:
Sr: 0.000 0.000 0.000
Zn: 0.248 0.748 0.500
Zn: 0.619 0.619 0.000
Zn: 0.748 0.248 0.500
Au: 0.389 0.389 0.000

Computed properties:
Crystal system ... tetragonal
Offset from the most stable computed form ... 0 meV per atom
Total moment ... 0.00 Bohr magnetons per cell

---

17.
Density functional theory data (GGA-PBE) for LaTb2Sm5Tm after structural relaxation.

Cell: 9.760 9.760 9.760 Å, 123.44 123.44 84.14°
Fractional positions:
La: 0.250 0.250 0.000
La: 0.750 0.750 0.000
Tb: 0.111 0.611 0.721
Tb: 0.389 0.111 0.500
Tb: 0.611 0.889 0.500
Tb: 0.889 0.389 0.279
Sm: 0.000 0.000 0.000
Sm: 0.073 0.166 0.500
Sm: 0.166 0.666 0.093
Sm: 0.334 0.427 0.500
Sm: 0.427 0.927 0.093
Sm: 0.500 0.500 0.000
Sm: 0.573 0.073 0.907
Sm: 0.666 0.573 0.500
Sm: 0.834 0.334 0.907
Sm: 0.927 0.834 0.500
Tm: 0.250 0.750 0.500
Tm: 0.750 0.250 0.500

Computed properties:
Crystal system ... tetragonal
Total moment ... 0.00 Bohr magnetons per cell
Calculated total energy ... -4.406 eV/atom

---

18.
Density functional theory data (GGA-PBE) for CeErPaAl after structural relaxation.

Cell: 5.157 5.157 5.157 Å, 60.00 60.00 60.00°
Fractional positions:
Ce: 0.000 0.000 0.000
Er: 0.750 0.750 0.750
Pa: 0.250 0.250 0.250
Al: 0.500 0.500 0.500

Computed properties:
Crystal system ... cubic
Total moment ... 1.39 Bohr magnetons per cell
Calculated total energy ... -5.822 eV/atom

---

19.
Density functional theory data (GGA-PBE) for In2H4I3 after structural relaxation.

Cell: 3.410 8.812 9.197 Å, 115.33 90.14 101.03°
Fractional positions:
In: 0.111 0.221 0.378
In: 0.889 0.779 0.622
H: 0.205 0.413 0.361
H: 0.442 0.887 0.653
H: 0.558 0.113 0.347
H: 0.795 0.587 0.639
I: 0.000 0.000 0.000
I: 0.138 0.271 0.708
I: 0.862 0.729 0.292

Computed properties:
Crystal system ... triclinic
Total moment ... 0.00 Bohr magnetons per cell
Calculated total energy ... -2.541 eV/atom

---

20.
Density functional theory data (GGA-PBE) for Na3TbBi2Se6 after structural relaxation.

Cell: 7.309 7.309 7.470 Å, 99.38 99.38 120.02°
Fractional positions:
Na: 0.000 0.000 0.000
Na: 0.328 0.672 0.000
Na: 0.672 0.328 0.000
Tb: 0.500 0.500 0.500
Bi: 0.166 0.834 0.500
Bi: 0.834 0.166 0.500
Se: 0.094 0.422 0.266
Se: 0.251 0.251 0.736
Se: 0.422 0.094 0.266
Se: 0.578 0.906 0.734
Se: 0.749 0.749 0.264
Se: 0.906 0.578 0.734

Computed properties:
Crystal system ... monoclinic
Total moment ... 0.00 Bohr magnetons per cell
Formation energy without anion corrections ... -1.062 eV/atom

---

21.
Density functional theory data (GGA-PBE) for PmCuPt4 after structural relaxation.

Cell: 7.408 4.139 6.884 Å, 90.00 90.00 90.00°
Fractional positions:
Pm: 0.250 0.000 0.143
Pm: 0.750 0.000 0.857
Cu: 0.250 0.000 0.740
Cu: 0.750 0.000 0.260
Pt: 0.000 0.000 0.500
Pt: 0.050 0.500 0.810
Pt: 0.250 0.500 0.465
Pt: 0.450 0.500 0.810
Pt: 0.500 0.000 0.500
Pt: 0.550 0.500 0.190
Pt: 0.750 0.500 0.535
Pt: 0.950 0.500 0.190

Computed properties:
Crystal system ... orthorhombic
Offset from the most stable computed form ... 59 meV per atom
Total moment ... 0.00 Bohr magnetons per cell

---

22.
Density functional theory data (GGA-PBE) for Li2Ac3Cu9 after structural relaxation.

Cell: 8.392 8.392 8.392 Å, 149.84 114.46 73.82°
Fractional positions:
Li: 0.191 0.000 0.191
Li: 0.809 0.000 0.809
Ac: 0.208 0.208 0.000
Ac: 0.500 0.500 0.000
Ac: 0.792 0.792 0.000
Cu: 0.000 0.500 0.500
Cu: 0.091 0.377 0.714
Cu: 0.191 0.840 0.351
Cu: 0.338 0.623 0.714
Cu: 0.488 0.840 0.649
Cu: 0.512 0.160 0.351
Cu: 0.662 0.377 0.286
Cu: 0.809 0.160 0.649
Cu: 0.909 0.623 0.286

Computed properties:
Crystal system ... orthorhombic
Total moment ... 0.00 Bohr magnetons per cell
Calculated total energy ... -3.892 eV/atom

---

23.
Density functional theory data (GGA-PBE) for Cs5Rb2Au3 after structural relaxation.

Cell: 12.520 12.520 12.520 Å, 103.98 92.81 135.19°
Fractional positions:
Cs: 0.027 0.750 0.277
Cs: 0.039 0.677 0.716
Cs: 0.250 0.250 0.000
Cs: 0.461 0.177 0.639
Cs: 0.473 0.750 0.723
Cs: 0.527 0.250 0.277
Cs: 0.539 0.823 0.361
Cs: 0.750 0.750 0.000
Cs: 0.961 0.323 0.284
Cs: 0.973 0.250 0.723
Rb: 0.205 0.243 0.449
Rb: 0.295 0.743 0.038
Rb: 0.705 0.257 0.962
Rb: 0.795 0.757 0.551
Au: 0.142 0.896 0.038
Au: 0.250 0.750 0.500
Au: 0.358 0.396 0.754
Au: 0.642 0.604 0.246
Au: 0.750 0.250 0.500
Au: 0.858 0.104 0.962

Computed properties:
Crystal system ... orthorhombic
Total moment ... 0.00 Bohr magnetons per cell
Calculated total energy ... -1.755 eV/atom